Material: La2GeH
Method: DFT, PBEsol
State: optimized geometry

Its space-group type is Fm-3m.

a = 5.0081 Å, b = 5.0081 Å, c = 5.0081 Å
α = 60.00°, β = 60.00°, γ = 60.00°
Closest atoms and distances in Å follow each position.
Sites, in units of the cell vectors:
La 0.2500 0.2500 0.2500  4 H 3.07, 4 Ge 3.07
La 0.7500 0.7500 0.7500  4 Ge 3.07, 4 H 3.07
Ge 0.0000 0.0000 0.0000  8 La 3.07
H 0.5000 0.5000 0.5000  8 La 3.07

=====

Material: Li2GeH2
Method: DFT, PBEsol
State: optimized geometry

Its space-group type is P4/mbm.

a = 6.9487 Å, b = 6.9487 Å, c = 2.7153 Å
α = 90.00°, β = 90.00°, γ = 90.00°
Closest atoms and distances in Å follow each position.
Sites, in units of the cell vectors:
Li 0.1894 0.3106 0.0000  4 H 2.34, 2 Ge 2.53
Li 0.3106 0.8106 0.0000  4 H 2.34, 2 Ge 2.53
Li 0.6894 0.1894 0.0000  4 H 2.34, 2 Ge 2.53
Li 0.8106 0.6894 0.0000  4 H 2.34, 2 Ge 2.53
Ge 0.0000 0.0000 0.0000  4 Li 2.53, 2 Ge 2.72
Ge 0.5000 0.5000 0.0000  4 Li 2.53, 2 Ge 2.72
H 0.0408 0.5408 0.5000  1 H 0.80
H 0.4592 0.0408 0.5000  1 H 0.80
H 0.5408 0.9592 0.5000  1 H 0.80
H 0.9592 0.4592 0.5000  1 H 0.80

=====

Material: LiGeHSe2
Method: DFT, PBEsol
State: optimized geometry

Its space-group type is P4/mmm.

a = 4.4580 Å, b = 4.4580 Å, c = 4.7529 Å
α = 90.00°, β = 90.00°, γ = 90.00°
Closest atoms and distances in Å follow each position.
Sites, in units of the cell vectors:
Li 0.0000 0.0000 0.0000  4 Se 2.23, 2 Ge 2.38
Ge 0.0000 0.0000 0.5000  2 Li 2.38
H 0.5000 0.5000 0.5000  4 Ge 3.15, 8 Se 3.26
Se 0.0000 0.5000 0.0000  2 Li 2.23
Se 0.5000 0.0000 0.0000  2 Li 2.23

=====

Material: MgGeH2
Method: DFT, PBEsol
State: optimized geometry

Its space-group type is Fm-3m.

a = 3.9452 Å, b = 3.9452 Å, c = 3.9452 Å
α = 60.00°, β = 60.00°, γ = 60.00°
Closest atoms and distances in Å follow each position.
Sites, in units of the cell vectors:
Mg 0.0000 0.0000 0.0000  8 H 2.42
Ge 0.5000 0.5000 0.5000  8 H 2.42
H 0.2500 0.2500 0.2500  4 Ge 2.42, 4 Mg 2.42
H 0.7500 0.7500 0.7500  4 Ge 2.42, 4 Mg 2.42

=====

The records above yield total DFT energy (no corrections) values of -0.386; -0.224; -0.215; -0.212 Ry/atom, respectively.
The records above yield M_tot values of 0.00; 0.00; 0.45; 0.00 μB/f.u., respectively.